# 1
Compound: ZrScFe2
Source: Alexandria via LeMat-Bulk
Functional: meta-GGA SCAN
Structure: PBEsol geometry

Density of states at the Fermi level (states/eV/cell): 2.81
Energy of formation (eV/atom): 0.126
Spin magnetization (μB per atom): 0.551
Space group: No. 119

a = 3.6320 Å, b = 3.6320 Å, c = 5.3078 Å
α = 110.01°, β = 110.01°, γ = 90.00°
Closest atoms and distances in Å follow each position.
Positions (direct):
1 Zr 0.2500 0.7500 0.5000  4 Fe 2.57
2 Fe 0.7500 0.2500 0.5000  4 Zr 2.57
3 Fe 0.0000 0.0000 0.0000  4 Sc 2.57
4 Sc 0.5000 0.5000 0.0000  4 Fe 2.57

# 2
Compound: RbP3F
Source: Alexandria via LeMat-Bulk
Functional: meta-GGA SCAN
Structure: PBEsol geometry

Density of states at the Fermi level (states/eV/cell): 3.91
Spin magnetization (μB per atom): 0.000
Space group: No. 221

a = 4.5890 Å, b = 4.5890 Å, c = 4.5890 Å
α = 90.00°, β = 90.00°, γ = 90.00°
Closest atoms and distances in Å follow each position.
Positions (direct):
1 P 0.0000 0.0000 0.5000  2 F 2.29
2 P 0.5000 0.0000 0.0000  2 F 2.29
3 F 0.0000 0.0000 0.0000  6 P 2.29
4 Rb 0.5000 0.5000 0.5000  12 P 3.24
5 P 0.0000 0.5000 0.0000  2 F 2.29

# 3
Compound: Tm6Al43Cr4
Source: Alexandria via LeMat-Bulk
Functional: meta-GGA SCAN
Structure: PBEsol geometry

Density of states at the Fermi level (states/eV/cell): 40.32
Energy of formation (eV/atom): -0.292
Spin magnetization (μB per atom): 0.138
Space group: No. 193

a = 10.7754 Å, b = 10.7754 Å, c = 17.4167 Å
α = 90.00°, β = 90.00°, γ = 120.00°
Closest atoms and distances in Å follow each position.
Positions (direct):
1 Cr 0.7318 0.0000 0.2500  10 Al 2.51-2.64
2 Al 0.7491 0.7491 0.4703  9 Al 2.69-2.89, 1 Cr 2.75
3 Cr 0.0000 0.0000 0.0000  12 Al 2.62-2.75
4 Al 0.6667 0.3333 0.6264  9 Al 2.69-2.80
5 Al 0.6087 0.7665 0.3350  1 Cr 2.64, 7 Al 2.67-2.95
6 Al 0.4015 0.8554 0.7500  1 Cr 2.59, 7 Al 2.70-2.80
7 Al 0.8543 0.0000 0.7500  2 Cr 2.51, 6 Al 2.72-2.75
8 Al 0.8422 0.6087 0.8350  1 Cr 2.64, 7 Al 2.67-2.95
9 Al 0.1559 0.1559 0.3844  2 Cr 2.62-2.64, 9 Al 2.67-2.91
10 Al 0.0000 0.2509 0.4703  9 Al 2.69-2.89, 1 Cr 2.75
11 Al 0.2509 0.0000 0.4703  9 Al 2.69-2.89, 1 Cr 2.75
12 Al 0.4935 0.2468 0.5000  6 Al 2.69-2.80
13 Al 0.1457 0.0000 0.2500  2 Cr 2.51, 6 Al 2.72-2.75
14 Al 0.3913 0.2335 0.6650  1 Cr 2.64, 7 Al 2.67-2.95
15 Al 0.2335 0.8422 0.1650  1 Cr 2.64, 7 Al 2.67-2.95
16 Al 0.2335 0.3913 0.8350  1 Cr 2.64, 7 Al 2.67-2.95
17 Al 0.1578 0.7665 0.8350  1 Cr 2.64, 7 Al 2.67-2.95
18 Al 0.4539 0.5985 0.7500  1 Cr 2.59, 7 Al 2.70-2.80
19 Al 0.1578 0.3913 0.1650  1 Cr 2.64, 7 Al 2.67-2.95
20 Cr 0.0000 0.0000 0.5000  12 Al 2.62-2.75
21 Al 0.7491 0.0000 0.5297  9 Al 2.69-2.89, 1 Cr 2.75
22 Al 0.8554 0.4539 0.2500  1 Cr 2.59, 7 Al 2.70-2.80
23 Al 0.6667 0.3333 0.3736  9 Al 2.69-2.80
24 Al 0.3913 0.1578 0.1650  1 Cr 2.64, 7 Al 2.67-2.95
25 Al 0.5985 0.1446 0.2500  1 Cr 2.59, 7 Al 2.70-2.80
26 Tm 0.5314 0.5314 0.9051  14 Al 3.02-3.32, 1 Tm 3.37
27 Al 0.7665 0.1578 0.6650  1 Cr 2.64, 7 Al 2.67-2.95
28 Al 0.7532 0.2468 0.5000  6 Al 2.69-2.80
29 Al 0.1457 0.1457 0.7500  2 Cr 2.51, 6 Al 2.72-2.75
30 Tm 0.5314 0.0000 0.4051  14 Al 3.02-3.32, 1 Tm 3.37
31 Al 0.2335 0.3913 0.6650  1 Cr 2.64, 7 Al 2.67-2.95
32 Tm 0.5314 0.5314 0.5949  14 Al 3.02-3.32, 1 Tm 3.37
33 Al 0.6087 0.7665 0.1650  1 Cr 2.64, 7 Al 2.67-2.95
34 Al 0.0000 0.1559 0.6156  2 Cr 2.62-2.64, 9 Al 2.67-2.91
35 Al 0.2468 0.4935 0.0000  6 Al 2.69-2.80
36 Tm 0.5314 0.0000 0.0949  14 Al 3.02-3.32, 1 Tm 3.37
37 Al 0.0000 0.1457 0.2500  2 Cr 2.51, 6 Al 2.72-2.75
38 Al 0.4539 0.8554 0.2500  1 Cr 2.59, 7 Al 2.70-2.80
39 Al 0.5461 0.4015 0.2500  1 Cr 2.59, 7 Al 2.70-2.80
40 Al 0.8422 0.2335 0.3350  1 Cr 2.64, 7 Al 2.67-2.95
41 Al 0.8554 0.4015 0.7500  1 Cr 2.59, 7 Al 2.70-2.80
42 Al 0.7665 0.6087 0.1650  1 Cr 2.64, 7 Al 2.67-2.95
43 Al 0.3913 0.1578 0.3350  1 Cr 2.64, 7 Al 2.67-2.95
44 Al 0.4015 0.5461 0.2500  1 Cr 2.59, 7 Al 2.70-2.80
45 Al 0.6087 0.8422 0.6650  1 Cr 2.64, 7 Al 2.67-2.95
46 Al 0.7491 0.7491 0.0297  9 Al 2.69-2.89, 1 Cr 2.75
47 Al 0.3333 0.6667 0.8736  9 Al 2.69-2.80
48 Tm 0.0000 0.4686 0.5949  14 Al 3.02-3.32, 1 Tm 3.37
49 Al 0.8441 0.8441 0.6156  2 Cr 2.62-2.64, 9 Al 2.67-2.91
50 Al 0.4935 0.2468 0.0000  6 Al 2.69-2.80
51 Al 0.8441 0.0000 0.3844  2 Cr 2.62-2.64, 9 Al 2.67-2.91
52 Al 0.2509 0.2509 0.5297  9 Al 2.69-2.89, 1 Cr 2.75
53 Al 0.7532 0.2468 0.0000  6 Al 2.69-2.80
54 Al 0.2335 0.8422 0.3350  1 Cr 2.64, 7 Al 2.67-2.95
55 Al 0.2468 0.4935 0.5000  6 Al 2.69-2.80
56 Al 0.1559 0.0000 0.6156  2 Cr 2.62-2.64, 9 Al 2.67-2.91
57 Al 0.0000 0.8441 0.3844  2 Cr 2.62-2.64, 9 Al 2.67-2.91
58 Tm 0.4686 0.4686 0.4051  14 Al 3.02-3.32, 1 Tm 3.37
59 Al 0.3913 0.2335 0.8350  1 Cr 2.64, 7 Al 2.67-2.95
60 Cr 0.0000 0.7318 0.2500  10 Al 2.51-2.64
61 Al 0.1446 0.5461 0.7500  1 Cr 2.59, 7 Al 2.70-2.80
62 Al 0.2509 0.0000 0.0297  9 Al 2.69-2.89, 1 Cr 2.75
63 Al 0.7532 0.5065 0.5000  6 Al 2.69-2.80
64 Al 0.1578 0.3913 0.3350  1 Cr 2.64, 7 Al 2.67-2.95
65 Al 0.2468 0.7532 0.5000  6 Al 2.69-2.80
66 Cr 0.2682 0.0000 0.7500  10 Al 2.51-2.64
67 Tm 0.4686 0.0000 0.9051  14 Al 3.02-3.32, 1 Tm 3.37
68 Al 0.1559 0.0000 0.8844  2 Cr 2.62-2.64, 9 Al 2.67-2.91
69 Al 0.6667 0.3333 0.1264  9 Al 2.69-2.80
70 Cr 0.0000 0.2682 0.7500  10 Al 2.51-2.64
71 Tm 0.0000 0.5314 0.0949  14 Al 3.02-3.32, 1 Tm 3.37
72 Tm 0.4686 0.0000 0.5949  14 Al 3.02-3.32, 1 Tm 3.37
73 Al 0.3333 0.6667 0.3736  9 Al 2.69-2.80
74 Al 0.5461 0.1446 0.7500  1 Cr 2.59, 7 Al 2.70-2.80
75 Al 0.7665 0.6087 0.3350  1 Cr 2.64, 7 Al 2.67-2.95
76 Al 0.5065 0.7532 0.0000  6 Al 2.69-2.80
77 Al 0.0000 0.7491 0.5297  9 Al 2.69-2.89, 1 Cr 2.75
78 Al 0.0000 0.1559 0.8844  2 Cr 2.62-2.64, 9 Al 2.67-2.91
79 Al 0.8422 0.6087 0.6650  1 Cr 2.64, 7 Al 2.67-2.95
80 Al 0.8543 0.8543 0.2500  2 Cr 2.51, 6 Al 2.72-2.75
81 Al 0.1559 0.1559 0.1156  2 Cr 2.62-2.64, 9 Al 2.67-2.91
82 Al 0.5985 0.4539 0.7500  1 Cr 2.59, 7 Al 2.70-2.80
83 Al 0.2468 0.7532 0.0000  6 Al 2.69-2.80
84 Al 0.1578 0.7665 0.6650  1 Cr 2.64, 7 Al 2.67-2.95
85 Al 0.7532 0.5065 0.0000  6 Al 2.69-2.80
86 Al 0.7665 0.1578 0.8350  1 Cr 2.64, 7 Al 2.67-2.95
87 Al 0.1446 0.5985 0.2500  1 Cr 2.59, 7 Al 2.70-2.80
88 Al 0.8441 0.8441 0.8844  2 Cr 2.62-2.64, 9 Al 2.67-2.91
89 Cr 0.7318 0.7318 0.7500  10 Al 2.51-2.64
90 Al 0.8422 0.2335 0.1650  1 Cr 2.64, 7 Al 2.67-2.95
91 Tm 0.0000 0.5314 0.4051  14 Al 3.02-3.32, 1 Tm 3.37
92 Al 0.6087 0.8422 0.8350  1 Cr 2.64, 7 Al 2.67-2.95
93 Cr 0.2682 0.2682 0.2500  10 Al 2.51-2.64
94 Al 0.3333 0.6667 0.1264  9 Al 2.69-2.80
95 Al 0.0000 0.7491 0.9703  9 Al 2.69-2.89, 1 Cr 2.75
96 Tm 0.0000 0.4686 0.9051  14 Al 3.02-3.32, 1 Tm 3.37
97 Al 0.0000 0.8441 0.1156  2 Cr 2.62-2.64, 9 Al 2.67-2.91
98 Al 0.5065 0.7532 0.5000  6 Al 2.69-2.80
99 Al 0.3333 0.6667 0.6264  9 Al 2.69-2.80
100 Al 0.6667 0.3333 0.8736  9 Al 2.69-2.80
101 Tm 0.4686 0.4686 0.0949  14 Al 3.02-3.32, 1 Tm 3.37
102 Al 0.8441 0.0000 0.1156  2 Cr 2.62-2.64, 9 Al 2.67-2.91
103 Al 0.0000 0.8543 0.7500  2 Cr 2.51, 6 Al 2.72-2.75
104 Al 0.7491 0.0000 0.9703  9 Al 2.69-2.89, 1 Cr 2.75
105 Al 0.2509 0.2509 0.9703  9 Al 2.69-2.89, 1 Cr 2.75
106 Al 0.0000 0.2509 0.0297  9 Al 2.69-2.89, 1 Cr 2.75

# 4
Compound: TaOsC2
Source: Alexandria via LeMat-Bulk
Functional: meta-GGA SCAN
Structure: PBEsol geometry

Density of states at the Fermi level (states/eV/cell): 3.69
Energy of formation (eV/atom): 0.420
Spin magnetization (μB per atom): 0.000
Space group: No. 122

a = 4.6043 Å, b = 4.6043 Å, c = 5.8363 Å
α = 113.23°, β = 113.23°, γ = 90.00°
Closest atoms and distances in Å follow each position.
Positions (direct):
1 Os 0.0000 0.0000 0.0000  4 C 1.97
2 Ta 0.7500 0.2500 0.5000  4 C 2.09
3 Os 0.2500 0.7500 0.5000  4 C 1.97
4 Ta 0.5000 0.5000 0.0000  4 C 2.09
5 C 0.8987 0.3750 0.2500  2 Os 1.97, 2 Ta 2.09
6 C 0.3513 0.8750 0.2500  2 Os 1.97, 2 Ta 2.09
7 C 0.6250 0.6487 0.7500  2 Os 1.97, 2 Ta 2.09
8 C 0.1250 0.1013 0.7500  2 Os 1.97, 2 Ta 2.09

# 5
Compound: Mn2SiP
Source: Alexandria via LeMat-Bulk
Functional: meta-GGA SCAN
Structure: PBEsol geometry

Density of states at the Fermi level (states/eV/cell): 2.16
Spin magnetization (μB per atom): 0.581
Space group: No. 6

a = 2.6664 Å, b = 4.1793 Å, c = 4.3580 Å
α = 90.00°, β = 107.50°, γ = 90.00°
Closest atoms and distances in Å follow each position.
Positions (direct):
1 Mn 0.6709 0.5000 0.2210  3 Si 2.27-2.31, 2 P 2.33
2 Mn 0.0835 0.0000 0.0395  3 P 2.23-2.36, 2 Si 2.37
3 Si 0.9487 0.5000 0.7681  5 Mn 2.27-2.37, 2 P 2.43
4 P 0.7969 0.0000 0.4714  5 Mn 2.23-2.36, 2 Si 2.43

# 6
Compound: La2InGe2
Source: Alexandria via LeMat-Bulk
Functional: meta-GGA SCAN
Structure: PBEsol geometry

Density of states at the Fermi level (states/eV/cell): 5.17
Energy of formation (eV/atom): -0.874
Spin magnetization (μB per atom): 0.000
Space group: No. 127
Excess energy over the best structure of this formula in the dataset (meV per atom): 0

a = 4.4220 Å, b = 7.5552 Å, c = 7.5552 Å
α = 90.00°, β = 90.00°, γ = 90.00°
Closest atoms and distances in Å follow each position.
Positions (direct):
1 La 0.5000 0.6795 0.8205  6 Ge 3.09-3.19
2 La 0.5000 0.8205 0.3205  6 Ge 3.09-3.19
3 In 0.0000 0.0000 0.0000  4 Ge 3.02
4 Ge 0.0000 0.1182 0.3818  1 Ge 2.53
5 In 0.0000 0.5000 0.5000  4 Ge 3.02
6 Ge 0.0000 0.3818 0.8818  1 Ge 2.53
7 Ge 0.0000 0.6182 0.1182  1 Ge 2.53
8 Ge 0.0000 0.8818 0.6182  1 Ge 2.53
9 La 0.5000 0.3205 0.1795  6 Ge 3.09-3.19
10 La 0.5000 0.1795 0.6795  6 Ge 3.09-3.19

# 7
Compound: LiTc2Sb
Source: Alexandria via LeMat-Bulk
Functional: meta-GGA SCAN
Structure: PBEsol geometry

Density of states at the Fermi level (states/eV/cell): 2.40
Spin magnetization (μB per atom): 0.000
Space group: No. 8

a = 2.9802 Å, b = 4.5118 Å, c = 4.8691 Å
α = 97.66°, β = 90.00°, γ = 109.29°
Closest atoms and distances in Å follow each position.
Positions (direct):
1 Sb 0.7461 0.4923 0.2678  3 Li 2.52-2.72, 3 Tc 2.77-2.80
2 Tc 0.2543 0.5086 0.7650  3 Tc 2.50-2.65, 1 Li 2.61
3 Li 0.4986 0.9972 0.4965  3 Sb 2.52-2.72, 5 Tc 2.61-2.80
4 Tc 0.0010 0.0019 0.9707  3 Tc 2.50-2.65, 2 Li 2.75, 3 Sb 2.77-2.80

# 8
Compound: CdMoRu
Source: Alexandria via LeMat-Bulk
Functional: meta-GGA SCAN
Structure: PBEsol geometry

Density of states at the Fermi level (states/eV/cell): 2.06
Energy of formation (eV/atom): 0.347
Spin magnetization (μB per atom): 0.000
Space group: No. 156
Excess energy over the best structure of this formula in the dataset (meV per atom): 163

a = 2.8557 Å, b = 4.3840 Å, c = 4.3840 Å
α = 120.00°, β = 90.00°, γ = 90.00°
Closest atoms and distances in Å follow each position.
Positions (direct):
1 Ru 0.4256 0.6667 0.3333  3 Mo 2.56, 3 Cd 2.80, 2 Ru 2.86
2 Cd 0.0067 0.0000 0.0000  6 Ru 2.80-3.03, 6 Mo 2.82-3.00, 2 Cd 2.86
3 Mo 0.5677 0.3333 0.6667  3 Ru 2.56, 3 Cd 2.82, 2 Mo 2.86

Number 1: E -1.48270 Ry per atom. Number 2: E -0.76769 Ry per atom. Number 3: E -1.01699 Ry per atom. Number 4: E -2.88452 Ry per atom. Number 5: E -1.06270 Ry per atom. Number 6: E -2.38344 Ry per atom. Number 7: E -2.00397 Ry per atom. Number 8: E -2.42753 Ry per atom.